Material: Co2SO
Method: DFT, PBE with a Hubbard U
State: optimized geometry

Summary:
N(E_F) ... 0.00 states/eV/atom
Offset from the most stable computed form ... 0.599 eV/atom
Magnetic moment ... 6.00 μB per formula unit

Cell: 4.0889 4.0889 4.0889 Å, 60.00 60.00 60.00°
Site moments in Bohr magnetons follow the coordinates.
Fractional positions:
S 0.5000 0.5000 0.5000  -0.22
Co 0.2500 0.2500 0.2500  -2.58
Co 0.7500 0.7500 0.7500  -2.58
O 0.0000 0.0000 0.0000  -0.45